Entry 1:
Computed, not measured: crystalline MgHg2Sb at its relaxed geometry at the PBEsol level of DFT.

Structure (extended XYZ):
```
8
Lattice="9.030 0.000 0.000 0.000 3.568 0.000 -1.337 0.000 5.899" Properties=species:S:1:pos:R:3 pbc="T T T"
Mg 0.000 0.000 0.000
Mg 4.515 1.784 0.000
Hg -0.686 1.784 3.235
Hg 1.274 0.000 4.633
Hg 3.830 0.000 3.235
Hg 5.789 1.784 4.633
Sb 1.854 1.784 1.531
Sb 6.369 0.000 1.531
```



Entry 2:
Computed, not measured: crystalline MgHg2Sb at its relaxed geometry at the PBEsol level of DFT.

Structure (extended XYZ):
```
8
Lattice="5.982 0.000 0.000 0.000 6.247 0.000 0.000 0.000 5.177" Properties=species:S:1:pos:R:3 pbc="T T T"
Mg 0.000 0.000 0.000
Mg 2.991 3.123 0.000
Hg 0.000 1.502 2.588
Hg 0.000 4.745 2.588
Hg 2.991 1.622 2.588
Hg 2.991 4.625 2.588
Sb 0.000 3.123 0.000
Sb 2.991 0.000 0.000
```



no.,raw formation energy (eV/atom)
1,-0.076
2,-0.125